1.
A relaxed MnMoRh2 crystal, computed with PBE-GGA.

Output
Its distance to the lowest polymorph of the same formula is 191 meV per atom. The value obtained for the energy of formation from the pure elements is 0.0306 eV per atom.

a b c (Å): 4.371 4.371 4.371
angles (deg): 60.00 60.00 60.00
Atoms (fractional coordinates):
Rh  0.250  0.250  0.250
Rh  0.750  0.750  0.750
Mn  0.000  0.000  0.000
Mo  0.500  0.500  0.500

***

2.
A relaxed CeSi6Tc12 crystal, computed with PBE-GGA.

Output
The formation energy without anion corrections is -388 kJ/mol of formula units.

a b c (Å): 6.970 6.970 6.970
angles (deg): 104.68 104.68 104.68
Atoms (fractional coordinates):
Tc  0.878  0.500  0.122
Tc  0.557  0.557  0.822
Tc  0.122  0.878  0.500
Tc  0.122  0.500  0.878
Tc  0.822  0.557  0.557
Tc  0.557  0.822  0.557
Tc  0.500  0.122  0.878
Tc  0.443  0.178  0.443
Tc  0.500  0.878  0.122
Tc  0.443  0.443  0.178
Tc  0.178  0.443  0.443
Tc  0.878  0.122  0.500
Si  0.249  0.249  0.709
Si  0.751  0.751  0.291
Si  0.709  0.249  0.249
Si  0.249  0.709  0.249
Si  0.291  0.751  0.751
Si  0.751  0.291  0.751
Ce  0.000  0.000  0.000